(1)
Here is a geometry-optimized Fe2AsPb structure from Alexandria via LeMat-Bulk. Energies are from PBE.

Summary:
Magnetic moment   4.30 μB/cell
ΔE to the lowest computed polymorph   0.171 eV/atom
V   16.9 Å³ per atom
E_form   1.3 eV per formula unit

a = 3.1483 Å, b = 3.1485 Å, c = 6.8274 Å
α = 90.00°, β = 90.00°, γ = 90.00°
Each line ends with the local moment (μB).
Element x y z (fractional)
As  0.5000  0.5000  0.7500  -0.08
Fe  0.0000  0.0000  0.9293  2.25
Fe  0.0000  0.0000  0.5707  2.25
Pb  0.5000  0.5000  0.2500  -0.04

(2)
Here is a geometry-optimized AgHg2Pd structure from Alexandria via LeMat-Bulk. Energies are from PBE.

Summary:
Magnetic moment   0.00 μB/cell
ΔE to the lowest computed polymorph   0.003 eV/atom
V   19.1 Å³ per atom
E_form   -0.1 eV per formula unit

a = 3.1128 Å, b = 3.1531 Å, c = 8.4149 Å
α = 112.19°, β = 90.00°, γ = 90.00°
Element x y z (fractional)
Ag  0.5000  0.0000  0.5000
Hg  0.0000  0.7607  0.7620
Hg  0.0000  0.2393  0.2380
Pd  0.5000  0.5000  0.0000

Q: Look up the E_form of the second one.
A: -0.1 eV per formula unit